The following is a PBE-GGA calculation of a geometry-optimized CaYIrPd structure, from Alexandria via LeMat-Bulk.

abc: 6.927 6.927 6.927
angles: 90.00 90.00 90.00
Space group F-43m (No. 216)
Symmetry-distinct sites (fractional):
1 Ca 0.000 0.000 0.000 x4
2 Y 0.000 0.000 0.500 x4
3 Ir 0.250 0.250 0.750 x4
4 Pd 0.250 0.250 0.250 x4

## Properties
Distance to the lowest polymorph of the same formula: 0.0 meV/atom
Total magnetization: 0.00 μB/f.u.
E_tot: -6.30 eV per atom